# 1
The following is a DFT calculation (PBE) of a relaxed structure of Al5CrGa.

**D(E_F)**: 8.182 states/eV/cell
**ΔH_f (0 K)**: 0.636 eV per atom

Cell and atoms, written as CIF:
```
data_Al5CrGa
_chemical_formula_sum 'Al10 Cr2 Ga2'
_cell_length_a 6.839
_cell_length_b 9.534
_cell_length_c 5.045
_cell_angle_alpha 90.00
_cell_angle_beta 90.00
_cell_angle_gamma 90.00
_symmetry_space_group_name_H-M 'P 1'
_symmetry_Int_Tables_number 1
_symmetry_space_group_name_Hall 'P 1'
loop_
_atom_site_label
_atom_site_type_symbol
_atom_site_fract_x
_atom_site_fract_y
_atom_site_fract_z
_atom_site_occupancy
Al1 Al 0.000 0.000 0.000 1
Al2 Al 0.000 0.240 0.261 1
Al3 Al 0.000 0.760 0.261 1
Al4 Al 0.179 0.500 0.782 1
Al5 Al 0.321 0.000 0.282 1
Al6 Al 0.500 0.260 0.761 1
Al7 Al 0.500 0.500 0.500 1
Al8 Al 0.500 0.740 0.761 1
Al9 Al 0.679 0.000 0.282 1
Al10 Al 0.821 0.500 0.782 1
Cr1 Cr 0.000 0.500 0.288 1
Cr2 Cr 0.500 0.000 0.788 1
Ga1 Ga 0.000 0.000 0.535 1
Ga2 Ga 0.500 0.500 0.035 1
```

# 2
The following is a DFT calculation (PBE) of a relaxed structure of Ba2GePb.

**D(E_F)**: 4.710 states/eV/cell
**Energy above the most stable polymorph in this dataset**: 5.4 kJ/mol of atoms
**ΔH_f (0 K)**: -0.510 eV per atom

Cell and atoms, written as CIF:
```
data_Ba2GePb
_chemical_formula_sum 'Ba4 Ge2 Pb2'
_cell_length_a 6.516
_cell_length_b 7.102
_cell_length_c 7.139
_cell_angle_alpha 67.37
_cell_angle_beta 74.17
_cell_angle_gamma 85.31
_symmetry_space_group_name_H-M 'P 1'
_symmetry_Int_Tables_number 1
_symmetry_space_group_name_Hall 'P 1'
loop_
_atom_site_label
_atom_site_type_symbol
_atom_site_fract_x
_atom_site_fract_y
_atom_site_fract_z
_atom_site_occupancy
Ba1 Ba 0.194 0.293 0.379 1
Ba2 Ba 0.278 0.848 0.927 1
Ba3 Ba 0.722 0.152 0.073 1
Ba4 Ba 0.806 0.707 0.621 1
Ge1 Ge 0.339 0.772 0.423 1
Ge2 Ge 0.661 0.228 0.577 1
Pb1 Pb 0.289 0.394 0.807 1
Pb2 Pb 0.711 0.606 0.193 1
```

# 3
The following is a DFT calculation (PBE) of a relaxed structure of CeY2Ru.

**D(E_F)**: 28.989 states/eV/cell
**Energy above the most stable polymorph in this dataset**: 4.1 kJ/mol of atoms
**ΔH_f (0 K)**: -0.275 eV per atom

Cell and atoms, written as CIF:
```
data_CeY2Ru
_chemical_formula_sum 'Ce4 Y8 Ru4'
_cell_length_a 3.779
_cell_length_b 12.051
_cell_length_c 9.582
_cell_angle_alpha 90.00
_cell_angle_beta 90.00
_cell_angle_gamma 90.00
_symmetry_space_group_name_H-M 'P 1'
_symmetry_Int_Tables_number 1
_symmetry_space_group_name_Hall 'P 1'
loop_
_atom_site_label
_atom_site_type_symbol
_atom_site_fract_x
_atom_site_fract_y
_atom_site_fract_z
_atom_site_occupancy
Ce1 Ce 0.000 0.084 0.250 1
Ce2 Ce 0.000 0.916 0.750 1
Ce3 Ce 0.500 0.416 0.750 1
Ce4 Ce 0.500 0.584 0.250 1
Y1 Y 0.000 0.358 0.070 1
Y2 Y 0.000 0.358 0.430 1
Y3 Y 0.000 0.642 0.570 1
Y4 Y 0.000 0.642 0.930 1
Y5 Y 0.500 0.142 0.570 1
Y6 Y 0.500 0.142 0.930 1
Y7 Y 0.500 0.858 0.070 1
Y8 Y 0.500 0.858 0.430 1
Ru1 Ru 0.000 0.271 0.750 1
Ru2 Ru 0.000 0.729 0.250 1
Ru3 Ru 0.500 0.229 0.250 1
Ru4 Ru 0.500 0.771 0.750 1
```

# 4
The following is a DFT calculation (PBE) of a relaxed structure of SrNiSb2Pd.

**D(E_F)**: 6.511 states/eV/cell
**ΔE_f (raw)**: -0.609 eV/atom

Cell and atoms, written as CIF:
```
data_SrNiSb2Pd
_chemical_formula_sum 'Sr2 Ni2 Sb4 Pd2'
_cell_length_a 4.603
_cell_length_b 4.603
_cell_length_c 10.945
_cell_angle_alpha 90.00
_cell_angle_beta 90.00
_cell_angle_gamma 90.00
_symmetry_space_group_name_H-M 'P 1'
_symmetry_Int_Tables_number 1
_symmetry_space_group_name_Hall 'P 1'
loop_
_atom_site_label
_atom_site_type_symbol
_atom_site_fract_x
_atom_site_fract_y
_atom_site_fract_z
_atom_site_occupancy
Sr1 Sr 0.000 0.000 0.000 1
Sr2 Sr 0.500 0.500 0.500 1
Ni1 Ni 0.000 0.500 0.750 1
Ni2 Ni 0.500 0.000 0.250 1
Sb1 Sb 0.000 0.000 0.364 1
Sb2 Sb 0.000 0.000 0.636 1
Sb3 Sb 0.500 0.500 0.136 1
Sb4 Sb 0.500 0.500 0.864 1
Pd1 Pd 0.000 0.500 0.250 1
Pd2 Pd 0.500 0.000 0.750 1
```

# 5
The following is a DFT calculation (PBE) of a relaxed structure of NaTcPd2.

**D(E_F)**: 10.434 states/eV/cell
**Energy above the most stable polymorph in this dataset**: 21.2 kJ/mol of atoms
**ΔH_f (0 K)**: 0.677 eV per atom

Cell and atoms, written as CIF:
```
data_NaTcPd2
_chemical_formula_sum 'Na4 Tc4 Pd8'
_cell_length_a 7.263
_cell_length_b 7.263
_cell_length_c 5.692
_cell_angle_alpha 90.00
_cell_angle_beta 90.00
_cell_angle_gamma 90.00
_symmetry_space_group_name_H-M 'P 1'
_symmetry_Int_Tables_number 1
_symmetry_space_group_name_Hall 'P 1'
loop_
_atom_site_label
_atom_site_type_symbol
_atom_site_fract_x
_atom_site_fract_y
_atom_site_fract_z
_atom_site_occupancy
Na1 Na 0.000 0.000 0.000 1
Na2 Na 0.000 0.500 0.250 1
Na3 Na 0.500 0.000 0.750 1
Na4 Na 0.500 0.500 0.500 1
Tc1 Tc 0.000 0.000 0.500 1
Tc2 Tc 0.000 0.500 0.750 1
Tc3 Tc 0.500 0.000 0.250 1
Tc4 Tc 0.500 0.500 0.000 1
Pd1 Pd 0.227 0.250 0.625 1
Pd2 Pd 0.250 0.727 0.875 1
Pd3 Pd 0.250 0.773 0.375 1
Pd4 Pd 0.273 0.250 0.125 1
Pd5 Pd 0.727 0.750 0.125 1
Pd6 Pd 0.750 0.227 0.375 1
Pd7 Pd 0.750 0.273 0.875 1
Pd8 Pd 0.773 0.750 0.625 1
```

# 6
The following is a DFT calculation (PBE) of a relaxed structure of SrScRu3.

**D(E_F)**: 8.546 states/eV/cell
**Energy above the most stable polymorph in this dataset**: 0.0 kJ/mol of atoms
**ΔH_f (0 K)**: 0.992 eV per atom

Cell and atoms, written as CIF:
```
data_SrScRu3
_chemical_formula_sum 'Sr1 Sc1 Ru3'
_cell_length_a 4.783
_cell_length_b 4.783
_cell_length_c 4.783
_cell_angle_alpha 90.00
_cell_angle_beta 90.00
_cell_angle_gamma 90.00
_symmetry_space_group_name_H-M 'P 1'
_symmetry_Int_Tables_number 1
_symmetry_space_group_name_Hall 'P 1'
loop_
_atom_site_label
_atom_site_type_symbol
_atom_site_fract_x
_atom_site_fract_y
_atom_site_fract_z
_atom_site_occupancy
Sr1 Sr 0.000 0.000 0.000 1
Sc1 Sc 0.500 0.500 0.500 1
Ru1 Ru 0.000 0.500 0.500 1
Ru2 Ru 0.500 0.000 0.500 1
Ru3 Ru 0.500 0.500 0.000 1
```